[1]
# Nd8Ir3RhI4 (GGA-PBE, relaxed)
# * uncorrected energy: -280.82 eV per cell
# * DOS(E_F): 0.25 states/eV per atom
data_Nd8Ir3RhI4
_cell_length_a 8.4270
_cell_length_b 8.4270
_cell_length_c 24.3785
_cell_angle_alpha 90.00
_cell_angle_beta 90.00
_cell_angle_gamma 120.00
_symmetry_space_group_name_H-M 'R -3 m'
_symmetry_Int_Tables_number 166
_symmetry_space_group_name_Hall '-R 3 2"'
loop_
_atom_site_label
_atom_site_fract_x
_atom_site_fract_y
_atom_site_fract_z
Nd1 0.0000 0.0000 0.2279
Nd2 0.0012 0.5006 0.7721
Ir1 0.0000 0.5000 0.5000
Rh1 0.0000 0.0000 0.5000
I1 0.0000 0.0000 0.0000
I2 0.0000 0.5000 0.0000

***

[2]
# NaSrMg2Al (GGA-PBE, relaxed)
# * uncorrected energy: -4.43 eV per cell
# * DOS(E_F): 1.43 states/eV per atom
# * formation enthalpy at 0 K: 1.101 eV/atom
data_NaSrMg2Al
_cell_length_a 6.345
_cell_length_b 6.345
_cell_length_c 6.395
_cell_angle_alpha 90.00
_cell_angle_beta 90.00
_cell_angle_gamma 90.00
_symmetry_space_group_name_H-M 'P 4/m m m'
_symmetry_Int_Tables_number 123
_symmetry_space_group_name_Hall '-P 4 2'
loop_
_atom_site_label
_atom_site_fract_x
_atom_site_fract_y
_atom_site_fract_z
Na1 0.000 0.000 0.000
Sr1 0.000 0.000 0.500
Mg1 0.000 0.500 0.500
Al1 0.500 0.500 0.000

***

[3]
# Tc2TeOs (GGA-PBE, relaxed)
# * uncorrected energy: -65.78 eV per cell
# * DOS(E_F): 1.11 states/eV per atom
data_Tc2TeOs
_cell_length_a 3.993
_cell_length_b 3.993
_cell_length_c 7.939
_cell_angle_alpha 90.00
_cell_angle_beta 90.00
_cell_angle_gamma 90.00
_symmetry_space_group_name_H-M 'I -4 m 2'
_symmetry_Int_Tables_number 119
_symmetry_space_group_name_Hall 'I -4 -2'
loop_
_atom_site_label
_atom_site_fract_x
_atom_site_fract_y
_atom_site_fract_z
Tc1 0.000 0.000 0.000
Tc2 0.000 0.500 0.250
Te1 0.000 0.500 0.750
Os1 0.000 0.000 0.500

***

[4]
# Sr2CaLa (GGA-PBE, relaxed)
# * uncorrected energy: -9.88 eV per cell
# * DOS(E_F): 1.68 states/eV per atom
# * formation enthalpy at 0 K: 0.103 eV/atom
data_Sr2CaLa
_cell_length_a 3.959
_cell_length_b 3.959
_cell_length_c 11.696
_cell_angle_alpha 90.00
_cell_angle_beta 90.00
_cell_angle_gamma 90.00
_symmetry_space_group_name_H-M 'P 4/m m m'
_symmetry_Int_Tables_number 123
_symmetry_space_group_name_Hall '-P 4 2'
loop_
_atom_site_label
_atom_site_fract_x
_atom_site_fract_y
_atom_site_fract_z
Sr1 0.000 0.000 0.245
Ca1 0.500 0.500 0.500
La1 0.500 0.500 0.000

***

[5]
# AlCuP4 (GGA-PBE, relaxed)
# * uncorrected energy: -103.82 eV per cell
# * DOS(E_F): 0.37 states/eV per atom
# * formation enthalpy at 0 K: 0.587 eV/atom
data_AlCuP4
_cell_length_a 7.135
_cell_length_b 7.135
_cell_length_c 7.135
_cell_angle_alpha 90.00
_cell_angle_beta 90.00
_cell_angle_gamma 90.00
_symmetry_space_group_name_H-M 'F -4 3 m'
_symmetry_Int_Tables_number 216
_symmetry_space_group_name_Hall 'F -4 2 3'
loop_
_atom_site_label
_atom_site_fract_x
_atom_site_fract_y
_atom_site_fract_z
Al1 0.000 0.000 0.000
Cu1 0.250 0.250 0.250
P1 0.124 0.124 0.624

***

[6]
# HoZn12Ir4 (GGA-PBE, relaxed)
# * uncorrected energy: -104.76 eV per cell
# * DOS(E_F): 0.29 states/eV per atom
# * formation enthalpy at 0 K: 0.172 eV/atom
data_HoZn12Ir4
_cell_length_a 8.671
_cell_length_b 8.671
_cell_length_c 8.671
_cell_angle_alpha 90.00
_cell_angle_beta 90.00
_cell_angle_gamma 90.00
_symmetry_space_group_name_H-M 'I m -3'
_symmetry_Int_Tables_number 204
_symmetry_space_group_name_Hall '-I 2 2 3'
loop_
_atom_site_label
_atom_site_fract_x
_atom_site_fract_y
_atom_site_fract_z
Ho1 0.000 0.000 0.000
Zn1 0.000 0.158 0.350
Ir1 0.250 0.250 0.250

***

[7]
# Al4PbO7 (GGA-PBE, relaxed)
# * uncorrected energy: -171.07 eV per cell
# * DOS(E_F): 0.00 states/eV per atom
data_Al4PbO7
_cell_length_a 12.942
_cell_length_b 5.237
_cell_length_c 5.024
_cell_angle_alpha 90.00
_cell_angle_beta 90.00
_cell_angle_gamma 90.00
_symmetry_space_group_name_H-M 'P m n 21'
_symmetry_Int_Tables_number 31
loop_
_symmetry_equiv_pos_as_xyz
'x,y,z'
'-x+1/2,-y,z+1/2'
'-x,y,z'
'x+1/2,-y,z+1/2'
loop_
_atom_site_label
_atom_site_fract_x
_atom_site_fract_y
_atom_site_fract_z
Al1 0.121 0.173 0.000
Al2 0.248 0.671 0.985
Pb1 0.000 0.662 0.634
O1 0.000 0.291 0.889
O2 0.133 0.845 0.920
O3 0.140 0.226 0.336
O4 0.219 0.364 0.833

***

[8]
# KCoSN2 (GGA-PBE, relaxed)
# * uncorrected energy: -15.65 eV per cell
# * DOS(E_F): 1.43 states/eV per atom
data_KCoSN2
_cell_length_a 4.735
_cell_length_b 4.735
_cell_length_c 5.965
_cell_angle_alpha 90.00
_cell_angle_beta 90.00
_cell_angle_gamma 90.00
_symmetry_space_group_name_H-M 'P 4/m m m'
_symmetry_Int_Tables_number 123
_symmetry_space_group_name_Hall '-P 4 2'
loop_
_atom_site_label
_atom_site_fract_x
_atom_site_fract_y
_atom_site_fract_z
K1 0.000 0.000 0.000
Co1 0.500 0.500 0.500
S1 0.000 0.000 0.500
N1 0.000 0.500 0.000

***

no.,magnetization (μB per atom)
1,0.00
2,0.00
3,0.00
4,0.00
5,0.00
6,0.00
7,0.00
8,1.60